Here is an optimized crystal structure of Y2HfPt2 from Alexandria. Energies are from PBE.

For the density of states at the Fermi level, the calculation gives 0.605 states/eV per atom. The formation energy is -0.98 eV per atom. The total energy comes out at -7.972 eV per atom.

The space group is P4/mbm (No. 127) and the conventional cell measures 7.0378, 7.0378 and 4.5812 Å, with angles of 90.00, 90.00 and 90.00 degrees. Symmetry generates all atoms from Y at (0.1701, 0.3299, 0.0000), Hf at (0.0000, 0.0000, 0.5000) and Pt at (0.1406, 0.6406, 0.5000).